(1)
{
  "formula": "PmAlZnPt",
  "functional": "PBE-GGA",
  "state": "optimized geometry",
  "lattice_angstrom": [[6.7495, 0.0000, 0.0000], [0.0000, 6.7495, 0.0000], [0.0000, 0.0000, 6.7495]],
  "species": ["Pm", "Pm", "Pm", "Pm", "Al", "Al", "Al", "Al", "Zn", "Zn", "Zn", "Zn", "Pt", "Pt", "Pt", "Pt"],
  "frac_coords": [[0.0000, 0.0000, 0.0000], [0.0000, 0.5000, 0.5000], [0.5000, 0.0000, 0.5000], [0.5000, 0.5000, 0.0000], [0.0000, 0.0000, 0.5000], [0.0000, 0.5000, 0.0000], [0.5000, 0.0000, 0.0000], [0.5000, 0.5000, 0.5000], [0.2500, 0.2500, 0.7500], [0.2500, 0.7500, 0.2500], [0.7500, 0.2500, 0.2500], [0.7500, 0.7500, 0.7500], [0.2500, 0.2500, 0.2500], [0.2500, 0.7500, 0.7500], [0.7500, 0.2500, 0.7500], [0.7500, 0.7500, 0.2500]],
  "magmom_total_mub_per_cell": 0.00,
  "final_energy_ev_per_atom": -4.612,
  "mass_density_g_cm3": 9.3,
  "sg": "No. 216"
}



(2)
{
  "formula": "Pm2AlZn3Pt4",
  "functional": "PBE-GGA",
  "state": "optimized geometry",
  "lattice_angstrom": [[4.2303, 0.0000, 0.0000], [0.0000, 4.2303, 0.0000], [0.0000, 0.0000, 10.6373]],
  "species": ["Pm", "Pm", "Al", "Zn", "Zn", "Zn", "Pt", "Pt", "Pt", "Pt"],
  "frac_coords": [[0.0000, 0.5000, 0.2416], [0.5000, 0.0000, 0.7584], [0.0000, 0.0000, 0.5000], [0.0000, 0.5000, 0.8663], [0.5000, 0.0000, 0.1337], [0.5000, 0.5000, 0.5000], [0.0000, 0.0000, 0.0000], [0.0000, 0.5000, 0.6326], [0.5000, 0.0000, 0.3674], [0.5000, 0.5000, 0.0000]],
  "magmom_total_mub_per_cell": 0.00,
  "final_energy_ev_per_atom": -4.971,
  "mass_density_g_cm3": 11.3,
  "sg": "No. 115"
}



(3)
{
  "formula": "Pm2AlZn2Pt5",
  "functional": "PBE-GGA",
  "state": "optimized geometry",
  "lattice_angstrom": [[9.8246, 0.0000, 0.0000], [0.0000, 9.8246, 0.0000], [0.0000, 0.0000, 3.7284]],
  "species": ["Pm", "Pm", "Pm", "Pm", "Al", "Al", "Zn", "Zn", "Zn", "Zn", "Pt", "Pt", "Pt", "Pt", "Pt", "Pt", "Pt", "Pt", "Pt", "Pt"],
  "frac_coords": [[0.1759, 0.3241, 0.0000], [0.3241, 0.8241, 0.0000], [0.6759, 0.1759, 0.0000], [0.8241, 0.6759, 0.0000], [0.0000, 0.0000, 0.0000], [0.5000, 0.5000, 0.0000], [0.1230, 0.6230, 0.0000], [0.3770, 0.1230, 0.0000], [0.6230, 0.8770, 0.0000], [0.8770, 0.3770, 0.0000], [0.0000, 0.5000, 0.5000], [0.0593, 0.7998, 0.5000], [0.2002, 0.0593, 0.5000], [0.2998, 0.5593, 0.5000], [0.4407, 0.2998, 0.5000], [0.5000, 0.0000, 0.5000], [0.5593, 0.7002, 0.5000], [0.7002, 0.4407, 0.5000], [0.7998, 0.9407, 0.5000], [0.9407, 0.2002, 0.5000]],
  "magmom_total_mub_per_cell": 0.00,
  "final_energy_ev_per_atom": -5.449,
  "mass_density_g_cm3": 13.1,
  "sg": "No. 127"
}



(4)
{
  "formula": "Pm3Al2ZnPt9",
  "functional": "PBE-GGA",
  "state": "optimized geometry",
  "lattice_angstrom": [[5.6766, 0.0000, 0.0000], [-2.8383, 4.9161, 0.0000], [0.0000, 0.0000, 11.5402]],
  "species": ["Pm", "Pm", "Pm", "Al", "Al", "Zn", "Pt", "Pt", "Pt", "Pt", "Pt", "Pt", "Pt", "Pt", "Pt"],
  "frac_coords": [[0.0000, 0.0000, 0.0000], [0.3333, 0.6667, 0.7562], [0.6667, 0.3333, 0.2438], [0.3333, 0.6667, 0.1667], [0.6667, 0.3333, 0.8333], [0.0000, 0.0000, 0.5000], [0.0000, 0.5000, 0.0000], [0.1660, 0.3319, 0.3272], [0.1660, 0.8340, 0.3272], [0.3319, 0.1660, 0.6728], [0.5000, 0.0000, 0.0000], [0.5000, 0.5000, 0.0000], [0.6681, 0.8340, 0.3272], [0.8340, 0.1660, 0.6728], [0.8340, 0.6681, 0.6728]],
  "magmom_total_mub_per_cell": 0.00,
  "final_energy_ev_per_atom": -5.962,
  "mass_density_g_cm3": 11.9,
  "sg": "No. 164"
}



(5)
{
  "formula": "Pm2AlZn4Pt3",
  "functional": "PBE-GGA",
  "state": "optimized geometry",
  "lattice_angstrom": [[3.9745, 0.0000, 0.0000], [0.0000, 3.9745, 0.0000], [0.0000, 0.0000, 11.9896]],
  "species": ["Pm", "Pm", "Al", "Zn", "Zn", "Zn", "Zn", "Pt", "Pt", "Pt"],
  "frac_coords": [[0.0000, 0.5000, 0.2444], [0.5000, 0.0000, 0.7556], [0.0000, 0.0000, 0.5000], [0.0000, 0.0000, 0.0000], [0.0000, 0.5000, 0.6405], [0.5000, 0.0000, 0.3595], [0.5000, 0.5000, 0.0000], [0.0000, 0.5000, 0.8550], [0.5000, 0.0000, 0.1450], [0.5000, 0.5000, 0.5000]],
  "magmom_total_mub_per_cell": 0.00,
  "final_energy_ev_per_atom": -4.381,
  "mass_density_g_cm3": 10.2,
  "sg": "No. 115"
}



(6)
{
  "formula": "PmPu2Al",
  "functional": "PBE-GGA",
  "state": "optimized geometry",
  "lattice_angstrom": [[4.5048, 0.0000, 0.0000], [0.0000, 4.5048, 0.0000], [0.0000, 0.0000, 5.0338]],
  "species": ["Pm", "Pu", "Pu", "Al"],
  "frac_coords": [[0.0000, 0.0000, 0.0000], [0.0000, 0.5000, 0.5000], [0.5000, 0.0000, 0.5000], [0.5000, 0.5000, 0.0000]],
  "relative_energy_ev_per_atom": 0.0000,
  "magmom_total_mub_per_cell": 11.83,
  "final_energy_ev_per_atom": -9.343,
  "mass_density_g_cm3": 10.7,
  "sg": "No. 123"
}



(7)
{
  "formula": "PmPuAl6",
  "functional": "PBE-GGA",
  "state": "optimized geometry",
  "lattice_angstrom": [[4.4634, 0.0000, 0.0000], [0.0000, 6.0414, 0.0000], [0.0000, 0.0000, 6.0330]],
  "species": ["Pm", "Pu", "Al", "Al", "Al", "Al", "Al", "Al"],
  "frac_coords": [[0.0000, 0.0000, 0.0000], [0.5000, 0.5000, 0.7752], [0.0000, 0.2530, 0.5285], [0.0000, 0.5000, 0.1271], [0.0000, 0.7470, 0.5285], [0.5000, 0.0000, 0.6302], [0.5000, 0.2655, 0.2543], [0.5000, 0.7345, 0.2543]],
  "magmom_total_mub_per_cell": 5.72,
  "final_energy_ev_per_atom": -5.499,
  "mass_density_g_cm3": 5.6,
  "sg": "No. 25"
}



(8)
{
  "formula": "PmPu2Al",
  "functional": "PBE-GGA",
  "state": "optimized geometry",
  "lattice_angstrom": [[3.7856, 0.0000, 0.0000], [0.0000, 3.7856, 0.0000], [0.0000, 0.0000, 7.3482]],
  "species": ["Pm", "Pu", "Pu", "Al"],
  "frac_coords": [[0.0000, 0.0000, 0.0000], [0.5000, 0.5000, 0.2960], [0.5000, 0.5000, 0.7040], [0.0000, 0.0000, 0.5000]],
  "relative_energy_ev_per_atom": 0.1280,
  "magmom_total_mub_per_cell": 11.65,
  "final_energy_ev_per_atom": -9.215,
  "mass_density_g_cm3": 10.4,
  "sg": "No. 123"
}



(9)
{
  "formula": "PmPu3Al8",
  "functional": "PBE-GGA",
  "state": "optimized geometry",
  "lattice_angstrom": [[5.6084, 0.0000, 0.0000], [-2.8042, 4.8570, 0.0000], [0.0000, 0.0000, 8.7939]],
  "species": ["Pm", "Pu", "Pu", "Pu", "Al", "Al", "Al", "Al", "Al", "Al", "Al", "Al"],
  "frac_coords": [[0.0000, 0.0000, 0.0000], [0.0000, 0.0000, 0.3575], [0.6667, 0.3333, 0.5168], [0.6667, 0.3333, 0.8269], [0.1606, 0.3211, 0.6726], [0.1606, 0.8394, 0.6726], [0.3333, 0.6667, 0.4248], [0.3333, 0.6667, 0.9217], [0.5065, 0.0130, 0.1774], [0.5065, 0.4935, 0.1774], [0.6789, 0.8394, 0.6726], [0.9870, 0.4935, 0.1774]],
  "relative_energy_ev_per_atom": 0.0109,
  "magmom_total_mub_per_cell": 5.74,
  "final_energy_ev_per_atom": -6.832,
  "mass_density_g_cm3": 7.6,
  "sg": "No. 156"
}



(10)
{
  "formula": "PmPuAl4",
  "functional": "PBE-GGA",
  "state": "optimized geometry",
  "lattice_angstrom": [[0.0000, 3.9588, 3.9588], [3.9588, 0.0000, 3.9588], [3.9588, 3.9588, 0.0000]],
  "species": ["Pm", "Pu", "Al", "Al", "Al", "Al"],
  "frac_coords": [[0.0000, 0.0000, 0.0000], [0.2500, 0.2500, 0.2500], [0.1269, 0.6244, 0.6244], [0.6244, 0.1269, 0.6244], [0.6244, 0.6244, 0.1269], [0.6244, 0.6244, 0.6244]],
  "magmom_total_mub_per_cell": 6.03,
  "final_energy_ev_per_atom": -6.068,
  "mass_density_g_cm3": 6.7,
  "sg": "No. 216"
}



(11)
{
  "formula": "PmPu3Al8",
  "functional": "PBE-GGA",
  "state": "optimized geometry",
  "lattice_angstrom": [[2.7705, 1.5995, 9.0367], [-2.7705, 1.5995, 9.0367], [0.0000, -3.1991, 9.0367]],
  "species": ["Pm", "Pu", "Pu", "Pu", "Al", "Al", "Al", "Al", "Al", "Al", "Al", "Al"],
  "frac_coords": [[0.0000, 0.0000, 0.0000], [0.3801, 0.3801, 0.3801], [0.4996, 0.4996, 0.4996], [0.8733, 0.8733, 0.8733], [0.1880, 0.1880, 0.1880], [0.4374, 0.4374, 0.9376], [0.4374, 0.9376, 0.4374], [0.4395, 0.9380, 0.9380], [0.6885, 0.6885, 0.6885], [0.9376, 0.4374, 0.4374], [0.9380, 0.4395, 0.9380], [0.9380, 0.9380, 0.4395]],
  "relative_energy_ev_per_atom": 0.0000,
  "magmom_total_mub_per_cell": 5.91,
  "final_energy_ev_per_atom": -6.843,
  "mass_density_g_cm3": 7.6,
  "sg": "No. 160"
}



(12)
{
  "formula": "Pm2PuAl6",
  "functional": "PBE-GGA",
  "state": "optimized geometry",
  "lattice_angstrom": [[7.9870, 0.0000, 0.0000], [-3.9935, 6.9169, 0.0000], [0.0000, 0.0000, 3.5667]],
  "species": ["Pm", "Pm", "Pu", "Al", "Al", "Al", "Al", "Al", "Al"],
  "frac_coords": [[0.3333, 0.6667, 0.0000], [0.6667, 0.3333, 0.0000], [0.0000, 0.0000, 0.0000], [0.0000, 0.3315, 0.5000], [0.0000, 0.6685, 0.5000], [0.3315, 0.0000, 0.5000], [0.3315, 0.3315, 0.5000], [0.6685, 0.0000, 0.5000], [0.6685, 0.6685, 0.5000]],
  "magmom_total_mub_per_cell": 5.68,
  "final_energy_ev_per_atom": -5.548,
  "mass_density_g_cm3": 5.9,
  "sg": "No. 191"
}